Entry from OQMD: a geometry-optimized ScCdB structure (PBE).

abc: 4.126 4.126 4.126
angles: 60.00 60.00 60.00
Fractional coordinates of all 3 atoms:
Cd 0.250 0.250 0.250
Sc 0.750 0.750 0.750
B 0.000 0.000 0.000

## Properties
Energy: -14.14 eV/f.u.
Crystal system: cubic